(1)
## LaHo6Sc3 (PBE)

Data for a relaxed LaHo6Sc3 crystal.

Calculated values
Formation energy from the elements ... 243 meV per atom

Unit cell a=10.0269 b=10.0269 c=6.1214 alpha=90.00 beta=90.00 gamma=102.14
Fractional positions:
La (0.1726, 0.8274, 0.5000)
La (0.8274, 0.1726, 0.0000)
Ho (0.0436, 0.4507, 0.6260)
Ho (0.0607, 0.9393, 0.0728)
Ho (0.2610, 0.7390, 0.9719)
Ho (0.3123, 0.4366, 0.9349)
Ho (0.4366, 0.3123, 0.4349)
Ho (0.4507, 0.0436, 0.1260)
Ho (0.5493, 0.9564, 0.6260)
Ho (0.5634, 0.6877, 0.9349)
Ho (0.6877, 0.5634, 0.4349)
Ho (0.7390, 0.2610, 0.4719)
Ho (0.9393, 0.0607, 0.5728)
Ho (0.9564, 0.5493, 0.1260)
Sc (0.1298, 0.2461, 0.2474)
Sc (0.2461, 0.1298, 0.7474)
Sc (0.3802, 0.6198, 0.4319)
Sc (0.6198, 0.3802, 0.9319)
Sc (0.7539, 0.8702, 0.2474)
Sc (0.8702, 0.7539, 0.7474)

***

(2)
## Pr3SiGe (PBE)

Data for a relaxed Pr3SiGe crystal.

Calculated values
Calculated total energy ... -26.779 eV per formula unit

Unit cell a=10.5390 b=6.3155 c=10.7868 alpha=90.00 beta=120.70 gamma=90.00
Fractional positions:
Pr (0.9999, 0.0004, 0.2493)
Pr (0.0001, 0.9996, 0.7507)
Pr (0.0001, 0.5004, 0.2507)
Pr (0.9999, 0.4996, 0.7493)
Pr (0.2110, 0.2494, 0.6053)
Pr (0.2110, 0.2506, 0.1053)
Pr (0.3589, 0.7500, 0.4291)
Pr (0.3589, 0.7500, 0.9291)
Pr (0.6411, 0.2500, 0.0709)
Pr (0.6411, 0.2500, 0.5709)
Pr (0.7890, 0.7494, 0.8947)
Pr (0.7890, 0.7506, 0.3947)
Si (0.3159, 0.2499, 0.4076)
Si (0.3159, 0.2501, 0.9076)
Si (0.6841, 0.7499, 0.0924)
Si (0.6841, 0.7501, 0.5924)
Ge (0.1509, 0.7500, 0.0753)
Ge (0.1509, 0.7500, 0.5753)
Ge (0.8491, 0.2500, 0.4247)
Ge (0.8491, 0.2500, 0.9247)

***

(3)
## Sr2AlB (PBE)

Data for a relaxed Sr2AlB crystal.

Calculated values
Energy relative to the lowest polymorph listed for this composition ... 0.366 eV/atom
Formation energy from the elements ... 544 meV per atom

Unit cell a=7.5100 b=7.5100 c=7.5100 alpha=90.00 beta=90.00 gamma=90.00
Fractional positions:
Sr (0.2500, 0.2500, 0.2500)
Sr (0.2500, 0.2500, 0.7500)
Sr (0.2500, 0.7500, 0.2500)
Sr (0.2500, 0.7500, 0.7500)
Sr (0.7500, 0.2500, 0.2500)
Sr (0.7500, 0.2500, 0.7500)
Sr (0.7500, 0.7500, 0.2500)
Sr (0.7500, 0.7500, 0.7500)
Al (0.0000, 0.0000, 0.0000)
Al (0.0000, 0.5000, 0.5000)
Al (0.5000, 0.0000, 0.5000)
Al (0.5000, 0.5000, 0.0000)
B (0.0000, 0.0000, 0.5000)
B (0.0000, 0.5000, 0.0000)
B (0.5000, 0.0000, 0.0000)
B (0.5000, 0.5000, 0.5000)

***

(4)
## In2CoI2 (PBE)

Data for a relaxed In2CoI2 crystal.

Calculated values
Energy relative to the lowest polymorph listed for this composition ... 0.000 eV/atom

Unit cell a=7.1715 b=7.1715 c=6.1079 alpha=90.00 beta=90.00 gamma=90.00
Fractional positions:
In (0.1797, 0.3203, 0.0000)
In (0.3203, 0.8203, 0.0000)
In (0.6797, 0.1797, 0.0000)
In (0.8203, 0.6797, 0.0000)
Co (0.0000, 0.0000, 0.5000)
Co (0.5000, 0.5000, 0.5000)
I (0.1838, 0.6838, 0.5000)
I (0.3162, 0.1838, 0.5000)
I (0.6838, 0.8162, 0.5000)
I (0.8162, 0.3162, 0.5000)

***

(5)
## Be9V2Fe (PBE)

Data for a relaxed Be9V2Fe crystal.

Calculated values
Formation energy from the elements ... -143 meV per atom

Unit cell a=7.2556 b=7.2556 c=7.2556 alpha=34.31 beta=34.31 gamma=34.31
Fractional positions:
Be (0.0000, 0.0000, 0.0000)
Be (0.0846, 0.0846, 0.5800)
Be (0.0846, 0.5800, 0.0846)
Be (0.1655, 0.1655, 0.1655)
Be (0.4200, 0.9154, 0.9154)
Be (0.5800, 0.0846, 0.0846)
Be (0.8345, 0.8345, 0.8345)
Be (0.9154, 0.4200, 0.9154)
Be (0.9154, 0.9154, 0.4200)
V (0.3545, 0.3545, 0.3545)
V (0.6455, 0.6455, 0.6455)
Fe (0.5000, 0.5000, 0.5000)

***

(6)
## Ba4C (PBE)

Data for a relaxed Ba4C crystal.

Calculated values
Energy relative to the lowest polymorph listed for this composition ... 0.055 eV/atom
Formation energy from the elements ... 495 meV per atom

Unit cell a=6.0901 b=6.0901 c=6.0901 alpha=90.00 beta=90.00 gamma=90.00
Fractional positions:
Ba (0.0000, 0.0000, 0.0000)
Ba (0.0000, 0.5000, 0.5000)
Ba (0.5000, 0.0000, 0.5000)
Ba (0.5000, 0.5000, 0.0000)
C (0.5000, 0.5000, 0.5000)

***

(7)
## LiTaPb2 (PBE)

Data for a relaxed LiTaPb2 crystal.

Calculated values
Formation energy from the elements ... 361 meV per atom

Unit cell a=3.9008 b=3.9008 c=5.8681 alpha=90.00 beta=90.00 gamma=90.00
Fractional positions:
Li (0.0000, 0.0000, 0.0000)
Ta (0.5000, 0.5000, 0.7134)
Pb (0.0000, 0.0000, 0.5437)
Pb (0.5000, 0.5000, 0.2020)

***

(8)
## LiTl8Pb6 (PBE)

Data for a relaxed LiTl8Pb6 crystal.

Calculated values
Formation energy from the elements ... 46 meV per atom

Unit cell a=8.9861 b=8.9861 c=7.0886 alpha=90.00 beta=90.00 gamma=120.00
Fractional positions:
Li (0.0000, 0.0000, 0.0000)
Tl (0.0275, 0.6839, 0.6109)
Tl (0.3161, 0.3436, 0.6109)
Tl (0.3333, 0.6667, 0.2418)
Tl (0.3436, 0.0275, 0.3891)
Tl (0.6564, 0.9725, 0.6109)
Tl (0.6667, 0.3333, 0.7582)
Tl (0.6839, 0.6564, 0.3891)
Tl (0.9725, 0.3161, 0.3891)
Pb (0.0287, 0.3533, 0.8929)
Pb (0.3245, 0.9713, 0.8929)
Pb (0.3533, 0.3245, 0.1071)
Pb (0.6467, 0.6755, 0.8929)
Pb (0.6755, 0.0287, 0.1071)
Pb (0.9713, 0.6467, 0.1071)